[1]
Density functional theory data (PBE-GGA) for an optimized crystal structure of LiAc2Ce3N6.

Unit cell a=3.6958 b=7.4129 c=8.0876 alpha=104.09 beta=103.21 gamma=90.00
Site moments in Bohr magnetons follow the coordinates.
Fractional positions:
N: 0.9908 0.2852 0.9817  -0.01
Ce: 0.5000 0.5000 0.0000  0.09
Ac: 0.8396 0.6827 0.6791  0.01
Ce: 0.1615 0.8381 0.3230  0.18
N: 0.3389 0.3991 0.6777  -0.01
Ac: 0.1604 0.3173 0.3209  0.01
N: 0.6780 0.0689 0.3561  -0.01
Li: 0.5000 0.0000 0.0000  0.00
N: 0.3220 0.9311 0.6439  -0.01
N: 0.0092 0.7148 0.0183  -0.01
Ce: 0.8385 0.1619 0.6770  0.18
N: 0.6611 0.6009 0.3223  -0.01

Values from the calculation:
- formation energy without anion corrections (eV/atom) = -1.170
- spin magnetization (μB/f.u.) = 0.54



[2]
Density functional theory data (PBE-GGA) for an optimized crystal structure of LiAcCe2N4.

Unit cell a=3.6217 b=6.1324 c=11.6740 alpha=90.00 beta=90.00 gamma=107.18
Fractional positions:
Li: 0.1616 0.3232 0.2500
N: 0.7399 0.4798 0.8905
N: 0.7399 0.4798 0.6095
Ce: 0.3674 0.7347 0.9420
Ce: 0.3674 0.7347 0.5580
N: 0.2601 0.5202 0.3905
N: 0.0000 0.0000 0.0000
Ce: 0.6326 0.2653 0.0580
N: 0.2601 0.5202 0.1095
N: 0.0000 0.0000 0.5000
N: 0.4421 0.8841 0.7500
N: 0.5579 0.1159 0.2500
Li: 0.8384 0.6768 0.7500
Ac: 0.8961 0.7921 0.2500
Ac: 0.1039 0.2079 0.7500
Ce: 0.6326 0.2653 0.4420

Values from the calculation:
- formation energy without anion corrections (eV/atom) = -1.247
- spin magnetization (μB/f.u.) = 0.00



[3]
Density functional theory data (PBE-GGA) for an optimized crystal structure of LiAc2CeO6.

Unit cell a=5.9719 b=6.0644 c=8.7644 alpha=90.00 beta=93.10 gamma=90.00
Site moments in Bohr magnetons follow the coordinates.
Fractional positions:
O: 0.2914 0.7049 0.4437  0.12
O: 0.2861 0.7156 0.0759  0.12
O: 0.6227 0.0529 0.2385  0.15
O: 0.7861 0.7844 0.5759  0.12
Ac: 0.9723 0.0499 0.7578  0.01
Li: 0.0000 0.5000 0.0000  0.00
O: 0.3773 0.9471 0.7615  0.15
O: 0.1227 0.4471 0.7385  0.15
Ce: 0.0000 0.5000 0.5000  0.04
Li: 0.5000 0.0000 0.5000  0.00
O: 0.7086 0.2951 0.5563  0.12
Ce: 0.5000 0.0000 0.0000  0.04
O: 0.2139 0.2156 0.4241  0.12
O: 0.8773 0.5529 0.2615  0.15
Ac: 0.0277 0.9501 0.2422  0.01
O: 0.7914 0.7951 0.9437  0.12
Ac: 0.4723 0.4501 0.2578  0.01
Ac: 0.5277 0.5499 0.7422  0.01
O: 0.7139 0.2844 0.9241  0.12
O: 0.2086 0.2049 0.0563  0.12

Values from the calculation:
- formation energy without anion corrections (eV/atom) = -2.852
- spin magnetization (μB/f.u.) = 0.98



[4]
Density functional theory data (PBE-GGA) for an optimized crystal structure of LiAcCeOs.

Unit cell a=5.1551 b=5.1551 c=5.1551 alpha=60.00 beta=60.00 gamma=60.00
Site moments in Bohr magnetons follow the coordinates.
Fractional positions:
Ce: 0.7500 0.7500 0.7500  0.60
Ac: 0.2500 0.2500 0.2500  0.03
Li: 0.0000 0.0000 0.0000  0.02
Os: 0.5000 0.5000 0.5000  -0.05

Values from the calculation:
- DFT formation energy (eV per atom) = 0.058
- spin magnetization (μB/f.u.) = 0.79